[1]
# TiCSe2N | Alexandria | SCAN | PBEsol geometry
# - uncorrected formation energy (eV per atom) = 1.23
data_TiCSe2N
_cell_length_a 3.685
_cell_length_b 4.928
_cell_length_c 4.928
_cell_angle_alpha 90.00
_cell_angle_beta 90.00
_cell_angle_gamma 90.00
_symmetry_space_group_name_H-M 'P 1'
_symmetry_Int_Tables_number 1
loop_
_symmetry_equiv_pos_as_xyz
'x,y,z'
loop_
_atom_site_label
_atom_site_type_symbol
_atom_site_fract_x
_atom_site_fract_y
_atom_site_fract_z
_atom_site_occupancy
Ti1 Ti 0.000 0.000 0.000 1
C1 C 0.500 0.500 0.500 1
Se1 Se 0.000 0.000 0.500 1
Se2 Se 0.000 0.500 0.000 1
N1 N 0.500 0.000 0.000 1

[2]
# Fe2SbAu | Alexandria | SCAN | PBEsol geometry
# - uncorrected formation energy (eV per atom) = 0.18
data_Fe2SbAu
_cell_length_a 3.142
_cell_length_b 4.196
_cell_length_c 4.709
_cell_angle_alpha 90.00
_cell_angle_beta 96.70
_cell_angle_gamma 90.00
_symmetry_space_group_name_H-M 'P 1'
_symmetry_Int_Tables_number 1
loop_
_symmetry_equiv_pos_as_xyz
'x,y,z'
loop_
_atom_site_label
_atom_site_type_symbol
_atom_site_fract_x
_atom_site_fract_y
_atom_site_fract_z
_atom_site_occupancy
Sb1 Sb 0.434 0.000 0.431 1
Fe1 Fe 0.899 0.500 0.272 1
Fe2 Fe 0.851 0.000 0.982 1
Au1 Au 0.316 0.500 0.816 1

[3]
# BeCdN2O | Alexandria | SCAN | PBEsol geometry
# - uncorrected formation energy (eV per atom) = 1.91
data_BeCdN2O
_cell_length_a 4.122
_cell_length_b 4.121
_cell_length_c 4.121
_cell_angle_alpha 90.00
_cell_angle_beta 90.00
_cell_angle_gamma 90.00
_symmetry_space_group_name_H-M 'P 1'
_symmetry_Int_Tables_number 1
loop_
_symmetry_equiv_pos_as_xyz
'x,y,z'
loop_
_atom_site_label
_atom_site_type_symbol
_atom_site_fract_x
_atom_site_fract_y
_atom_site_fract_z
_atom_site_occupancy
N1 N 0.000 0.500 0.000 1
N2 N 0.000 0.000 0.500 1
Cd1 Cd 0.000 0.000 0.000 1
O1 O 0.500 0.000 0.000 1
Be1 Be 0.500 0.500 0.500 1